Entry 1:
The following is a PBE calculation of Ac2PO5 after structural relaxation, from Alexandria via LeMat-Bulk.

- formation energy (no corrections) (meV per atom) = -2743
- E_tot (eV for the cell shown) = -120.7
- offset from the most stable computed form (eV per formula unit) = 1.21

The structure in CIF format:
```
data_Ac2PO5
_symmetry_space_group_name_H-M 'I 4 m m'
_symmetry_Int_Tables_number 107
_symmetry_space_group_name_Hall 'I 4 -2'
_cell_length_a 5.5435
_cell_length_b 5.5435
_cell_length_c 7.5601
_cell_angle_alpha 90.00
_cell_angle_beta 90.00
_cell_angle_gamma 90.00
loop_
_atom_site_label
_atom_site_fract_x
_atom_site_fract_y
_atom_site_fract_z
Ac1 0.0000 0.5000 0.0000
P1 0.0000 0.0000 0.2657
O1 0.0000 0.0000 0.4805
O2 0.2175 0.2175 0.2399
```

---

Entry 2:
The following is a PBE calculation of Ac2PO after structural relaxation, from Alexandria via LeMat-Bulk.

- formation energy (no corrections) (meV per atom) = -1486
- E_tot (eV for the cell shown) = -24.5
- offset from the most stable computed form (eV per formula unit) = 2.01

The structure in CIF format:
```
data_Ac2PO
_symmetry_space_group_name_H-M 'P 4/m m m'
_symmetry_Int_Tables_number 123
_symmetry_space_group_name_Hall '-P 4 2'
_cell_length_a 3.5472
_cell_length_b 3.5472
_cell_length_c 7.0861
_cell_angle_alpha 90.00
_cell_angle_beta 90.00
_cell_angle_gamma 90.00
loop_
_atom_site_label
_atom_site_fract_x
_atom_site_fract_y
_atom_site_fract_z
Ac1 0.0000 0.0000 0.2422
P1 0.5000 0.5000 0.5000
O1 0.5000 0.5000 0.0000
```